(1)
Compound: HgCI3
Source: Alexandria
Functional: GGA-PBE
Structure: relaxed

```
5
Lattice="5.191 0.000 0.000 0.000 5.191 0.000 0.000 0.000 5.191" Properties=species:S:1:pos:R:3 pbc="T T T"
Hg 0.000 0.000 0.000
C 2.595 2.595 2.595
I 0.000 2.595 2.595
I 2.595 0.000 2.595
I 2.595 2.595 0.000
```

N(E_F), states/eV/cell: 3.922

***

(2)
Compound: HgCI2
Source: Alexandria
Functional: GGA-PBE
Structure: relaxed

```
8
Lattice="6.074 0.000 0.000 0.251 6.898 0.000 0.003 0.034 7.372" Properties=species:S:1:pos:R:3 pbc="T T T"
Hg 0.000 0.000 0.000
Hg 0.001 0.017 3.686
C 1.041 0.371 1.841
C 5.286 6.561 5.531
I 1.691 2.471 1.831
I 3.042 5.920 1.848
I 3.285 1.012 5.524
I 4.636 4.461 5.540
```

***

(3)
Compound: HgCI2
Source: Alexandria
Functional: GGA-PBE
Structure: relaxed

```
8
Lattice="6.693 0.000 0.000 0.851 7.110 0.000 2.958 2.036 7.831" Properties=species:S:1:pos:R:3 pbc="T T T"
Hg 0.000 0.000 0.000
Hg 2.159 2.091 2.022
C 4.047 3.050 2.283
C 7.136 0.925 1.816
I 3.270 7.825 5.575
I 3.990 4.598 3.792
I 4.913 3.747 0.445
I 5.552 1.238 3.040
```

***

(4)
Compound: HgC2I
Source: Alexandria
Functional: GGA-PBE
Structure: relaxed

```
8
Lattice="-2.611 2.611 5.576 2.611 -2.611 5.576 2.611 2.611 -5.576" Properties=species:S:1:pos:R:3 pbc="T T T"
Hg 0.000 0.000 0.000
Hg 0.000 2.611 2.788
C 1.306 -1.264 4.182
C 1.347 1.306 1.394
C 1.306 3.875 -1.394
C 1.264 1.306 6.970
I 2.611 0.000 2.788
I 0.000 0.000 5.576
```

N(E_F), states/eV/cell: 3.927

***

(5)
Compound: HgCI2
Source: Alexandria
Functional: GGA-PBE
Structure: relaxed

```
4
Lattice="4.219 0.000 0.000 1.531 4.959 0.000 0.668 2.478 6.561" Properties=species:S:1:pos:R:3 pbc="T T T"
Hg 0.000 0.000 0.000
C 4.309 6.808 6.560
I 4.273 5.472 4.746
I 3.598 2.993 1.814
```

N(E_F), states/eV/cell: 0.092

***

(6)
Compound: HgCI2
Source: Alexandria
Functional: GGA-PBE
Structure: relaxed

```
8
Lattice="7.963 0.000 0.000 0.000 3.657 5.949 0.000 -3.657 5.949" Properties=species:S:1:pos:R:3 pbc="T T T"
Hg 0.000 0.000 0.000
Hg 0.000 0.000 5.949
C 1.110 -1.829 5.945
C 6.852 1.829 5.945
I 2.338 -1.829 4.121
I 2.374 -1.829 7.742
I 5.589 1.829 7.742
I 5.625 1.829 4.121
```

***

(7)
Compound: HgC2I
Source: Alexandria
Functional: GGA-PBE
Structure: relaxed

```
4
Lattice="0.000 3.209 3.209 3.209 0.000 3.209 3.209 3.209 0.000" Properties=species:S:1:pos:R:3 pbc="T T T"
Hg 0.000 0.000 0.000
C 1.604 1.604 1.604
C 4.813 4.813 4.813
I 3.209 3.209 3.209
```

N(E_F), states/eV/cell: 2.837

***

(8)
Compound: HgCI2
Source: Alexandria
Functional: GGA-PBE
Structure: relaxed

```
8
Lattice="-3.800 3.800 5.371 3.800 -3.800 5.371 3.800 3.800 -5.371" Properties=species:S:1:pos:R:3 pbc="T T T"
Hg 0.000 0.000 0.000
Hg 0.000 3.800 2.686
C 3.800 0.000 2.686
C 0.000 0.000 5.371
I 1.900 3.786 -1.343
I 3.814 1.900 1.343
I 1.900 0.014 4.028
I -0.014 1.900 6.714
```

N(E_F), states/eV/cell: 0.812

***

(9)
Compound: HgCI2
Source: Alexandria
Functional: GGA-PBE
Structure: relaxed

```
8
Lattice="6.806 0.000 0.000 0.000 7.192 0.000 -2.454 0.000 7.812" Properties=species:S:1:pos:R:3 pbc="T T T"
Hg 0.000 0.000 0.000
Hg 0.000 3.596 0.000
C -2.041 1.798 6.740
C 6.393 5.394 1.072
I 0.845 5.394 2.881
I 0.081 1.798 6.157
I 4.271 5.394 1.655
I 3.508 1.798 4.932
```

N(E_F), states/eV/cell: 0.000

***

(10)
Compound: HgCI2
Source: Alexandria
Functional: GGA-PBE
Structure: relaxed

```
4
Lattice="0.000 3.767 3.767 3.767 0.000 3.767 3.767 3.767 0.000" Properties=species:S:1:pos:R:3 pbc="T T T"
Hg 0.000 0.000 0.000
C 3.767 3.767 3.767
I 1.883 1.883 1.883
I 5.650 5.650 5.650
```

N(E_F), states/eV/cell: 4.577

***

(11)
Compound: HgCI3
Source: Alexandria
Functional: GGA-PBE
Structure: relaxed

```
5
Lattice="5.917 0.000 0.000 0.000 5.917 0.000 0.000 0.000 5.917" Properties=species:S:1:pos:R:3 pbc="T T T"
Hg 0.000 0.000 0.000
C 2.958 2.958 2.958
I 0.000 0.000 2.958
I 0.000 2.958 0.000
I 2.958 0.000 0.000
```

N(E_F), states/eV/cell: 9.032

***

(12)
Compound: Hg2CI
Source: Alexandria
Functional: GGA-PBE
Structure: relaxed

```
4
Lattice="0.000 3.742 3.742 3.742 0.000 3.742 3.742 3.742 0.000" Properties=species:S:1:pos:R:3 pbc="T T T"
Hg 1.871 1.871 1.871
Hg 5.614 5.614 5.614
C 0.000 0.000 0.000
I 3.742 3.742 3.742
```

N(E_F), states/eV/cell: 2.341

***

(13)
Compound: K2HgCI
Source: Alexandria
Functional: GGA-PBE
Structure: relaxed

```
5
Lattice="6.623 0.000 0.000 0.000 6.623 0.000 0.000 0.000 3.984" Properties=species:S:1:pos:R:3 pbc="T T T"
K 0.000 3.312 0.000
K 3.312 0.000 0.000
Hg 0.000 0.000 0.000
C 0.000 0.000 1.992
I 3.312 3.312 1.992
```

N(E_F), states/eV/cell: 1.369

***

(14)
Compound: KHgC2IN2
Source: Alexandria
Functional: GGA-PBE
Structure: relaxed

```
14
Lattice="2.227 -8.293 0.000 2.227 8.293 0.000 0.000 0.000 9.929" Properties=species:S:1:pos:R:3 pbc="T T T"
K 2.227 4.352 7.447
K 2.227 -4.352 2.482
Hg 0.000 0.000 0.000
Hg 0.000 0.000 4.965
C 2.227 6.313 0.567
C 2.227 6.313 4.398
C 2.227 -6.313 5.531
C 2.227 -6.313 9.363
I 2.227 0.900 2.482
I 2.227 -0.900 7.447
N 2.227 5.187 0.884
N 2.227 5.187 4.081
N 2.227 -5.187 5.848
N 2.227 -5.187 9.046
```

N(E_F), states/eV/cell: 0.000

***

(15)
Compound: La4HgCI2
Source: Alexandria
Functional: GGA-PBE
Structure: relaxed

```
8
Lattice="8.012 0.000 0.000 0.000 4.074 0.000 -2.253 0.000 7.916" Properties=species:S:1:pos:R:3 pbc="T T T"
La 1.106 0.000 1.406
La -0.181 2.037 6.376
La 5.940 2.037 1.540
La 4.653 0.000 6.510
Hg 4.006 0.000 0.000
C 0.000 2.037 0.000
I -1.127 0.000 3.958
I 2.879 2.037 3.958
```

N(E_F), states/eV/cell: 9.134

***

(16)
Compound: La2HgCI
Source: Alexandria
Functional: GGA-PBE
Structure: relaxed

```
5
Lattice="5.933 0.000 0.000 0.000 5.933 0.000 0.000 0.000 5.639" Properties=species:S:1:pos:R:3 pbc="T T T"
La 0.000 2.967 0.000
La 2.967 0.000 0.000
Hg 0.000 0.000 2.819
C 2.967 2.967 2.819
I 0.000 0.000 0.000
```

N(E_F), states/eV/cell: 4.929

***

(17)
Compound: HgCIN2
Source: Alexandria
Functional: GGA-PBE
Structure: relaxed

```
5
Lattice="4.085 0.000 0.000 0.000 4.085 0.000 0.000 0.000 4.648" Properties=species:S:1:pos:R:3 pbc="T T T"
Hg 0.000 0.000 0.000
C 2.043 2.043 2.324
I 2.043 2.043 0.000
N 0.000 2.043 2.324
N 2.043 0.000 2.324
```

N(E_F), states/eV/cell: 1.292

***

(18)
Compound: HgCIN2
Source: Alexandria
Functional: GGA-PBE
Structure: relaxed

```
5
Lattice="4.144 0.000 0.000 0.000 4.144 0.000 0.000 0.000 7.845" Properties=species:S:1:pos:R:3 pbc="T T T"
Hg 0.000 0.000 0.000
C 2.072 2.072 3.922
I 0.000 0.000 3.922
N 0.000 2.072 0.000
N 2.072 0.000 0.000
```

N(E_F), states/eV/cell: 2.112

***

(19)
Compound: Na2HgCI
Source: Alexandria
Functional: GGA-PBE
Structure: relaxed

```
5
Lattice="5.582 0.000 0.000 0.000 5.582 0.000 0.000 0.000 4.040" Properties=species:S:1:pos:R:3 pbc="T T T"
Na 0.000 2.791 0.000
Na 2.791 0.000 0.000
Hg 0.000 0.000 2.020
C 0.000 0.000 0.000
I 2.791 2.791 2.020
```

N(E_F), states/eV/cell: 2.133

***

(20)
Compound: HgCI2O
Source: Alexandria
Functional: GGA-PBE
Structure: relaxed

```
5
Lattice="5.966 0.000 0.000 0.000 5.966 0.000 0.000 0.000 4.079" Properties=species:S:1:pos:R:3 pbc="T T T"
Hg 0.000 0.000 0.000
C 2.983 2.983 2.039
I 0.000 2.983 0.000
I 2.983 0.000 0.000
O 0.000 0.000 2.039
```

N(E_F), states/eV/cell: 6.678

***

What did we get for energy relative to the elements, uncorrected? Answer: 1.03, 0.64, 0.75, 2.35, 0.78, 0.66, 2.94, 0.99, 0.65, 1.78, 1.58, 1.73, 0.17, -0.05, -0.67, 1.42, 2.63, 2.93, 0.17, 1.67 eV/atom, in the order shown.
What did we get for theoretical density? Answer: 7.0, 5.0, 4.2, 7.7, 5.6, 4.5, 8.8, 5.0, 4.1, 7.2, 4.8, 8.6, 4.0, 3.8, 6.6, 5.2, 7.9, 4.5, 5.1, 5.5 Mg/m³, in the order shown.